1.
# Pr2YZr

Crystalline Pr2YZr at its relaxed geometry (PBE, Alexandria via LeMat-Bulk).

Structure (CIF):
```
data_Pr2YZr
_cell_length_a 7.896
_cell_length_b 7.896
_cell_length_c 7.896
_cell_angle_alpha 90.00
_cell_angle_beta 90.00
_cell_angle_gamma 90.00
_symmetry_space_group_name_H-M 'F m -3 m'
_symmetry_Int_Tables_number 225
_symmetry_space_group_name_Hall '-F 4 2 3'
loop_
_atom_site_label
_atom_site_fract_x
_atom_site_fract_y
_atom_site_fract_z
Pr1 0.250 0.250 0.250
Y1 0.000 0.000 0.000
Zr1 0.000 0.000 0.500
```

Output
M_tot, μB per atom: 0.16
VASP energy, eV for the cell shown: -94.83
Theoretical density, g/cm³: 6.2
V, Å³ per atom: 30.764
Offset from the most stable computed form, meV/atom: 79
Energy of formation from the pure elements, meV/atom: 216.2

=====

2.
# PrY2Zr

Crystalline PrY2Zr at its relaxed geometry (PBE, Alexandria via LeMat-Bulk).

Structure (CIF):
```
data_PrY2Zr
_cell_length_a 4.040
_cell_length_b 4.040
_cell_length_c 7.517
_cell_angle_alpha 90.00
_cell_angle_beta 90.00
_cell_angle_gamma 90.00
_symmetry_space_group_name_H-M 'P 4/m m m'
_symmetry_Int_Tables_number 123
_symmetry_space_group_name_Hall '-P 4 2'
loop_
_atom_site_label
_atom_site_fract_x
_atom_site_fract_y
_atom_site_fract_z
Pr1 0.000 0.000 0.000
Y1 0.500 0.500 0.281
Zr1 0.000 0.000 0.500
```

Output
M_tot, μB per atom: 0.00
VASP energy, eV for the cell shown: -25.54
Theoretical density, g/cm³: 5.5
V, Å³ per atom: 30.676
Offset from the most stable computed form, meV/atom: 85
Energy of formation from the pure elements, meV/atom: 179.2

=====

3.
# PrY2Zr

Crystalline PrY2Zr at its relaxed geometry (PBE, Alexandria via LeMat-Bulk).

Structure (CIF):
```
data_PrY2Zr
_cell_length_a 3.4896
_cell_length_b 3.4896
_cell_length_c 34.4294
_cell_angle_alpha 90.00
_cell_angle_beta 90.00
_cell_angle_gamma 120.00
_symmetry_space_group_name_H-M 'R -3 m'
_symmetry_Int_Tables_number 166
_symmetry_space_group_name_Hall '-R 3 2"'
loop_
_atom_site_label
_atom_site_fract_x
_atom_site_fract_y
_atom_site_fract_z
Pr1 0.0000 0.0000 0.0000
Y1 0.0000 0.0000 0.2436
Zr1 0.0000 0.0000 0.5000
```

Output
M_tot, μB per atom: 0.00
VASP energy, eV for the cell shown: -77.64
Theoretical density, g/cm³: 5.6
V, Å³ per atom: 30.258
Offset from the most stable computed form, meV/atom: 0
Energy of formation from the pure elements, meV/atom: 93.8

=====

4.
# Pr2YZr

Crystalline Pr2YZr at its relaxed geometry (PBE, Alexandria via LeMat-Bulk).

Structure (CIF):
```
data_Pr2YZr
_cell_length_a 4.101
_cell_length_b 4.101
_cell_length_c 7.414
_cell_angle_alpha 90.00
_cell_angle_beta 90.00
_cell_angle_gamma 90.00
_symmetry_space_group_name_H-M 'P 4/m m m'
_symmetry_Int_Tables_number 123
_symmetry_space_group_name_Hall '-P 4 2'
loop_
_atom_site_label
_atom_site_fract_x
_atom_site_fract_y
_atom_site_fract_z
Pr1 0.000 0.000 0.225
Y1 0.500 0.500 0.500
Zr1 0.500 0.500 0.000
```

Output
M_tot, μB per atom: 0.00
VASP energy, eV for the cell shown: -23.89
Theoretical density, g/cm³: 6.2
V, Å³ per atom: 31.170
Offset from the most stable computed form, meV/atom: 34
Energy of formation from the pure elements, meV/atom: 170.8